Below is an optimized crystal structure of Pr12Co3O5, with properties calculated at the GGA+U level.

Cell and atoms, written as POSCAR:
```
Pr12Co3O5
1.0
13.836 0.000 0.000
-4.612 13.044 0.000
-4.612 -6.522 11.297
O Pr Co
20 48 12
direct
0.000 0.000 0.000
0.000 0.500 0.500
0.375 0.250 0.125
0.500 0.500 0.000
0.500 0.000 0.500
0.250 0.875 0.125
0.875 0.250 0.625
0.250 0.375 0.625
0.750 0.625 0.375
0.125 0.750 0.375
0.125 0.375 0.250
0.500 0.500 0.500
0.375 0.125 0.750
0.625 0.750 0.875
0.000 0.000 0.500
0.875 0.625 0.750
0.500 0.000 0.000
0.625 0.875 0.250
0.000 0.500 0.000
0.750 0.125 0.875
0.613 0.594 0.909
0.909 0.094 0.613
0.091 0.185 0.204
0.409 0.296 0.315
0.113 0.704 0.519
0.981 0.594 0.185
0.887 0.591 0.906
0.796 0.481 0.387
0.594 0.613 0.409
0.019 0.406 0.815
0.296 0.887 0.981
0.887 0.296 0.481
0.481 0.685 0.094
0.113 0.409 0.094
0.591 0.887 0.406
0.185 0.091 0.704
0.387 0.981 0.796
0.519 0.315 0.906
0.796 0.315 0.909
0.591 0.704 0.685
0.296 0.409 0.815
0.909 0.815 0.796
0.906 0.091 0.887
0.481 0.796 0.887
0.406 0.387 0.591
0.685 0.481 0.594
0.387 0.406 0.091
0.685 0.204 0.591
0.315 0.519 0.406
0.204 0.519 0.613
0.594 0.981 0.685
0.519 0.204 0.113
0.019 0.613 0.704
0.094 0.185 0.481
0.091 0.906 0.387
0.981 0.387 0.296
0.906 0.815 0.519
0.815 0.906 0.019
0.204 0.685 0.091
0.185 0.094 0.981
0.815 0.909 0.296
0.315 0.796 0.409
0.094 0.909 0.113
0.704 0.113 0.019
0.409 0.113 0.594
0.613 0.019 0.204
0.406 0.019 0.315
0.704 0.591 0.185
0.125 0.875 0.750
0.875 0.750 0.125
0.125 0.250 0.875
0.875 0.125 0.250
0.375 0.750 0.625
0.750 0.375 0.125
0.625 0.250 0.375
0.750 0.875 0.625
0.625 0.375 0.750
0.250 0.625 0.875
0.375 0.625 0.250
0.250 0.125 0.375
```

Values from the calculation:
energy	-6.09	eV per atom
size of the total moment	19.442	μB per cell
symmetry	No. 230